Entry 1:
YCd2Sb: relaxed, GGA-PBE.

```
YCd2Sb
1.0
-4.577 2.135 -2.974
-5.751 -1.126 -0.080
-2.390 2.987 2.397
Cd Sb Y
2 1 1
Cartesian
-10.327 1.009 -3.053 Cd
-9.541 2.996 -0.494 Cd
-6.359 1.997 -0.329 Sb
-3.178 0.999 -0.163 Y
```

Output
* size of the total moment: 0.00 Bohr magnetons per cell
* space-group type: I-4m2, No. 119
* theoretical density: 7218 kg/m3
* uncorrected energy: -13.80 eV/cell



Entry 2:
CeGdHg: relaxed, GGA-PBE.

```
CeGdHg
1.0
3.658 0.000 0.000
0.000 3.658 0.000
-1.829 -1.829 6.509
Gd Hg Ce
1 1 1
Cartesian
0.000 0.000 3.870 Gd
1.829 1.829 5.800 Hg
1.829 1.829 1.395 Ce
```

Output
* size of the total moment: 6.67 Bohr magnetons per cell
* space-group type: I4mm, No. 107
* theoretical density: 9495 kg/m3
* E_form: -19.4 kJ per mole of atoms
* distance to the lowest polymorph of the same formula: 0.000 eV per atom
* uncorrected energy: -20.92 eV/cell



| no. | N(E_F) (states/eV/f.u.) |
| --- | --- |
| 1 | 3.46 |
| 2 | 7.36 |